Compound: MgAgSn
Source: Alexandria
Functional: PBE
Structure: optimized geometry

Lattice parameters (Å, degrees): 4.9125 4.9125 3.1566 90.00 90.00 120.00
Space group P-6m2 (No. 187)
Symmetry-distinct sites (fractional):
1 Mg 0.0000 0.0000 0.0000 x1
2 Ag 0.6667 0.3333 0.5000 x1
3 Sn 0.3333 0.6667 0.5000 x1

Output
Crystal system: hexagonal
Formation energy, eV/atom: -0.07
ρ, g/cm3: 6.315
DFT total energy, eV/atom: -2.886



Compound: Tm6As2PbS3
Source: Alexandria
Functional: PBE
Structure: optimized geometry

Lattice parameters (Å, degrees): 17.529 3.982 8.101 90.00 102.75 90.00
Space group C2/m (No. 12)
Symmetry-distinct sites (fractional):
1 Tm 0.000 0.000 0.228 x4
2 Tm 0.168 0.500 0.083 x4
3 Tm 0.174 0.500 0.589 x4
4 As 0.167 0.000 0.835 x4
5 Pb 0.000 0.500 0.500 x2
6 S 0.000 0.500 0.000 x2
7 S 0.167 0.000 0.331 x4

Output
Crystal system: monoclinic
ΔE_f (raw), eV/f.u.: -18.117
ρ, g/cm3: 8.832
DFT total energy, eV/atom: -5.861



Compound: K2Zr3TlSe8
Source: Alexandria
Functional: PBE
Structure: optimized geometry

Lattice parameters (Å, degrees): 8.0150 8.0150 24.8394 90.00 90.00 120.00
Space group R3m (No. 160, hexagonal axes)
Symmetry-distinct sites (fractional):
1 K 0.0000 0.0000 0.0000 x3
2 K 0.0000 0.0000 0.3458 x3
3 Zr 0.0034 0.5017 0.4908 x9
4 Tl 0.0000 0.0000 0.5122 x3
5 Se 0.0000 0.0000 0.2182 x3
6 Se 0.0000 0.0000 0.7617 x3
7 Se 0.0097 0.5049 0.7668 x9
8 Se 0.1869 0.3738 0.5575 x9

Output
Crystal system: trigonal
ΔE_f (raw), eV/f.u.: -16.324
ρ, g/cm3: 4.282
DFT total energy, eV/atom: -5.315



Compound: Tm3MgPb2
Source: Alexandria
Functional: PBE
Structure: optimized geometry

Lattice parameters (Å, degrees): 6.368 16.476 6.333 90.00 90.00 90.00
Space group Ibam (No. 72)
Symmetry-distinct sites (fractional):
1 Tm 0.000 0.000 0.250 x4
2 Tm 0.235 0.327 0.000 x8
3 Mg 0.000 0.500 0.250 x4
4 Pb 0.240 0.138 0.000 x8

Output
ΔE to the lowest computed polymorph, eV/atom: 0.092
Crystal system: orthorhombic
Formation energy, eV/atom: -0.29
ρ, g/cm3: 9.453
DFT total energy, eV/atom: -4.032



Compound: Ac2MgRu2
Source: Alexandria
Functional: PBE
Structure: optimized geometry

Lattice parameters (Å, degrees): 10.724 5.866 8.390 90.00 106.32 90.00
Space group C2/c (No. 15)
Symmetry-distinct sites (fractional):
1 Ac 0.147 0.145 0.145 x8
2 Mg 0.000 0.394 0.750 x4
3 Ru 0.144 0.336 0.520 x8

Output
ΔE to the lowest computed polymorph, eV/atom: 0.000
Crystal system: monoclinic
Formation energy, eV/atom: -0.10
ρ, g/cm3: 8.922
DFT total energy, eV/atom: -5.776



Compound: CaNd12Ho3
Source: Alexandria
Functional: PBE
Structure: optimized geometry

Lattice parameters (Å, degrees): 5.178 5.178 20.677 90.00 90.00 90.00
Space group P4/mmm (No. 123)
Symmetry-distinct sites (fractional):
1 Ca 0.000 0.000 0.000 x1
2 Nd 0.000 0.500 0.130 x4
3 Nd 0.000 0.500 0.376 x4
4 Nd 0.500 0.500 0.000 x1
5 Nd 0.500 0.500 0.251 x2
6 Nd 0.500 0.500 0.500 x1
7 Ho 0.000 0.000 0.252 x2
8 Ho 0.000 0.000 0.500 x1

Output
Crystal system: tetragonal
Formation energy, eV/atom: 0.03
ρ, g/cm3: 6.787
DFT total energy, eV/atom: -4.533



What total moment values result from the calculations? In sequence: 0.00; 0.00; 0.00; 0.02; 0.00; 0.00 μB per cell.